{
  "formula": "FeGeAs3",
  "functional": "GGA-PBE",
  "state": "optimized geometry",
  "polymorph_energy_mev_per_atom": 0,
  "final_energy_ev_per_atom": -5.359,
  "delta_e_f_ev_per_atom": 0.05,
  "sg": "Cc",
  "cell": [[5.963, 0.773, -1.420], [-2.720, 5.360, -1.420], [-0.120, -0.227, 5.708]],
  "species": ["Fe", "Fe", "Ge", "Ge", "As", "As", "As", "As", "As", "As"],
  "frac_coords": [[0.075, 0.917, 0.579], [0.377, 0.616, 0.080], [0.553, 0.036, 0.161], [0.495, 0.094, 0.662], [0.070, 0.682, 0.205], [0.666, 0.768, 0.510], [0.227, 0.206, 0.010], [0.010, 0.189, 0.369], [0.649, 0.551, 0.868], [0.141, 0.610, 0.705]]
}


{
  "formula": "K3ScTl2O6",
  "functional": "GGA-PBE",
  "state": "optimized geometry",
  "final_energy_ev_per_atom": -5.256,
  "e_form_raw_ev_per_atom": -1.580,
  "sg": "C2/m",
  "cell": [[5.918, -0.001, 0.001], [-2.958, 5.125, 0.001], [-0.987, -1.708, 6.202]],
  "species": ["K", "K", "K", "Sc", "Tl", "Tl", "O", "O", "O", "O", "O", "O"],
  "frac_coords": [[0.169, 0.831, 0.500], [0.831, 0.169, 0.500], [0.500, 0.500, 0.500], [0.000, 0.000, 0.000], [0.334, 0.666, 0.000], [0.666, 0.334, 0.000], [0.936, 0.624, 0.809], [0.752, 0.752, 0.191], [0.064, 0.376, 0.191], [0.624, 0.936, 0.809], [0.248, 0.248, 0.809], [0.376, 0.064, 0.191]]
}


{
  "formula": "Y2Si3Au2",
  "functional": "GGA-PBE",
  "state": "optimized geometry",
  "final_energy_ev_per_atom": -5.791,
  "e_form_raw_ev_per_atom": -0.684,
  "sg": "Cmcm",
  "cell": [[-0.322, 4.273, -0.215], [-6.640, -0.399, 2.021], [2.759, -1.506, 8.768]],
  "species": ["Y", "Y", "Y", "Y", "Si", "Si", "Si", "Si", "Si", "Si", "Au", "Au", "Au", "Au"],
  "frac_coords": [[0.152, 0.250, 0.304], [0.848, 0.750, 0.696], [0.949, 0.250, 0.899], [0.051, 0.750, 0.101], [0.223, 0.750, 0.447], [0.777, 0.250, 0.553], [0.556, 0.422, 0.113], [0.444, 0.578, 0.887], [0.444, 0.922, 0.887], [0.556, 0.078, 0.113], [0.685, 0.951, 0.370], [0.315, 0.049, 0.630], [0.315, 0.451, 0.630], [0.685, 0.549, 0.370]]
}


{
  "formula": "ZrNi2Cl",
  "functional": "GGA-PBE",
  "state": "optimized geometry",
  "polymorph_energy_mev_per_atom": 411,
  "final_energy_ev_per_atom": -5.406,
  "e_form_raw_ev_per_atom": 0.083,
  "sg": "Cmmm",
  "cell": [[-1.891, -3.377, 2.450], [4.103, 1.342, 1.531], [-1.473, 2.255, 1.971]],
  "species": ["Cl", "Ni", "Ni", "Zr"],
  "frac_coords": [[0.000, 0.500, 0.500], [0.000, 0.000, 0.000], [0.500, 0.500, 0.000], [0.500, 0.000, 0.500]]
}


{
  "formula": "HoInRh2",
  "functional": "GGA-PBE",
  "state": "optimized geometry",
  "final_energy_ev_per_atom": -6.281,
  "delta_e_f_ev_per_atom": -0.78,
  "sg": "I4/mmm",
  "cell": [[4.678, 0.000, 0.000], [2.339, 4.054, -0.224], [2.339, 1.575, 3.743]],
  "species": ["Rh", "Rh", "Ho", "In"],
  "frac_coords": [[0.000, 0.000, 0.000], [0.500, 0.500, 0.500], [0.750, 0.750, 0.750], [0.250, 0.250, 0.250]]
}


{
  "formula": "KAsP3",
  "functional": "GGA-PBE",
  "state": "optimized geometry",
  "polymorph_energy_mev_per_atom": 1567,
  "final_energy_ev_per_atom": -2.194,
  "delta_e_f_ev_per_atom": 2.20,
  "sg": "Pm-3m",
  "cell": [[-1.868, 2.697, 3.982], [-4.735, -0.281, -2.030], [-0.844, -4.389, 2.577]],
  "species": ["P", "P", "P", "As", "K"],
  "frac_coords": [[0.000, 0.500, 0.000], [0.000, 0.000, 0.500], [0.500, 0.000, 0.000], [0.500, 0.500, 0.500], [0.000, 0.000, 0.000]]
}


{
  "formula": "Na3Al2Au3",
  "functional": "GGA-PBE",
  "state": "optimized geometry",
  "final_energy_ev_per_atom": -3.013,
  "delta_e_f_ev_per_atom": -0.35,
  "sg": "Cmcm",
  "cell": [[-0.397, -3.980, 1.770], [4.341, 3.265, 2.912], [-9.677, 4.925, 8.906]],
  "species": ["Na", "Na", "Na", "Na", "Na", "Na", "Al", "Al", "Al", "Al", "Au", "Au", "Au", "Au", "Au", "Au"],
  "frac_coords": [[0.931, 0.862, 0.381], [0.069, 0.138, 0.881], [0.931, 0.862, 0.119], [0.069, 0.138, 0.619], [0.624, 0.248, 0.250], [0.376, 0.752, 0.750], [0.780, 0.560, 0.917], [0.220, 0.440, 0.417], [0.780, 0.560, 0.583], [0.220, 0.440, 0.083], [0.613, 0.226, 0.462], [0.387, 0.774, 0.962], [0.613, 0.226, 0.038], [0.387, 0.774, 0.538], [0.312, 0.625, 0.250], [0.688, 0.375, 0.750]]
}


{
  "formula": "LaSn3Pt",
  "functional": "GGA-PBE",
  "state": "optimized geometry",
  "final_energy_ev_per_atom": -5.260,
  "delta_e_f_ev_per_atom": -0.66,
  "sg": "P2_1/m",
  "cell": [[-0.472, -5.276, 3.351], [6.811, -0.419, 0.299], [-0.013, 3.344, 4.989]],
  "species": ["La", "La", "Sn", "Sn", "Sn", "Sn", "Sn", "Sn", "Pt", "Pt"],
  "frac_coords": [[0.662, 0.750, 0.363], [0.338, 0.250, 0.637], [0.788, 0.017, 0.875], [0.212, 0.983, 0.125], [0.788, 0.483, 0.875], [0.212, 0.517, 0.125], [0.145, 0.750, 0.557], [0.855, 0.250, 0.443], [0.468, 0.750, 0.848], [0.532, 0.250, 0.152]]
}


{
  "formula": "Mo2PdCl8",
  "functional": "GGA-PBE",
  "state": "optimized geometry",
  "final_energy_ev_per_atom": -4.360,
  "e_form_raw_ev_per_atom": -0.575,
  "sg": "C2/m",
  "cell": [[6.459, -0.065, -0.049], [-0.040, 7.710, -0.224], [-0.040, 1.860, 7.485]],
  "species": ["Mo", "Mo", "Pd", "Cl", "Cl", "Cl", "Cl", "Cl", "Cl", "Cl", "Cl"],
  "frac_coords": [[0.691, 0.816, 0.816], [0.309, 0.184, 0.184], [0.000, 0.000, 0.000], [0.178, 0.319, 0.916], [0.822, 0.084, 0.681], [0.346, 0.852, 0.852], [0.654, 0.148, 0.148], [0.178, 0.916, 0.319], [0.822, 0.681, 0.084], [0.709, 0.628, 0.628], [0.291, 0.372, 0.372]]
}


{
  "formula": "Cs4La3USe8",
  "functional": "GGA-PBE",
  "state": "optimized geometry",
  "final_energy_ev_per_atom": -5.230,
  "e_form_raw_ev_per_atom": -1.645,
  "sg": "R-3m",
  "cell": [[-4.823, -7.276, 1.848], [4.225, -0.548, 8.867], [-4.091, 7.657, -2.069]],
  "species": ["Cs", "Cs", "Cs", "Cs", "La", "La", "La", "U", "Se", "Se", "Se", "Se", "Se", "Se", "Se", "Se"],
  "frac_coords": [[0.500, 0.000, 0.000], [0.500, 0.000, 0.500], [0.000, 0.000, 0.000], [0.000, 0.000, 0.500], [0.500, 0.500, 0.000], [0.500, 0.500, 0.500], [0.000, 0.500, 0.500], [0.000, 0.500, 0.000], [0.225, 0.689, 0.963], [0.225, 0.689, 0.451], [0.269, 0.308, 0.539], [0.738, 0.689, 0.963], [0.262, 0.311, 0.037], [0.731, 0.692, 0.461], [0.775, 0.311, 0.549], [0.775, 0.311, 0.037]]
}


{
  "formula": "LiHfVW2",
  "functional": "GGA-PBE",
  "state": "optimized geometry",
  "final_energy_ev_per_atom": -8.265,
  "delta_e_f_ev_per_atom": 1.11,
  "sg": "P4/mmm",
  "cell": [[4.523, 0.000, 0.000], [0.000, 3.875, 0.000], [0.000, 0.000, 4.523]],
  "species": ["Li", "Hf", "W", "W", "V"],
  "frac_coords": [[0.000, 0.000, 0.000], [0.500, 0.500, 0.500], [0.000, 0.000, 0.500], [0.500, 0.000, 0.000], [0.000, 0.500, 0.000]]
}


{
  "formula": "BaGa2Cl6",
  "functional": "GGA-PBE",
  "state": "optimized geometry",
  "final_energy_ev_per_atom": -3.582,
  "e_form_raw_ev_per_atom": -1.465,
  "sg": "R3",
  "cell": [[-4.689, -1.551, -5.212], [-0.104, -6.569, -2.898], [-5.259, -4.313, 1.069]],
  "species": ["Ba", "Ga", "Ga", "Cl", "Cl", "Cl", "Cl", "Cl", "Cl"],
  "frac_coords": [[0.627, 0.627, 0.118], [0.145, 0.145, 0.566], [0.369, 0.369, 0.894], [0.585, 0.195, 0.154], [0.195, 0.066, 0.154], [0.066, 0.585, 0.154], [0.540, 0.667, 0.652], [0.667, 0.141, 0.652], [0.141, 0.540, 0.652]]
}


{
  "formula": "Er8SiTe3P3",
  "functional": "GGA-PBE",
  "state": "optimized geometry",
  "final_energy_ev_per_atom": -5.782,
  "e_form_raw_ev_per_atom": -1.277,
  "sg": "R-3m",
  "cell": [[8.136, 0.000, 0.000], [-4.068, 7.046, -0.025], [0.000, -4.673, 6.939]],
  "species": ["Er", "Er", "Er", "Er", "Er", "Er", "Er", "Er", "Si", "Te", "Te", "Te", "P", "P", "P"],
  "frac_coords": [[0.264, 0.528, 0.292], [0.736, 0.472, 0.708], [0.758, 0.517, 0.283], [0.242, 0.483, 0.717], [0.758, 0.025, 0.283], [0.242, 0.975, 0.717], [0.266, 0.025, 0.283], [0.734, 0.975, 0.717], [0.000, 0.000, 0.500], [0.000, 0.000, 0.000], [0.000, 0.500, 0.000], [0.500, 0.500, 0.000], [0.500, 0.000, 0.500], [0.500, 0.500, 0.500], [0.000, 0.500, 0.500]]
}


{
  "formula": "NaLaHg3",
  "functional": "GGA-PBE",
  "state": "optimized geometry",
  "polymorph_energy_mev_per_atom": 0,
  "final_energy_ev_per_atom": -1.783,
  "delta_e_f_ev_per_atom": -0.35,
  "sg": "Cmcm",
  "cell": [[3.504, 0.000, -0.482], [0.000, 5.053, 0.000], [0.296, 0.000, 15.111]],
  "species": ["Na", "Na", "La", "La", "Hg", "Hg", "Hg", "Hg", "Hg", "Hg"],
  "frac_coords": [[0.215, 0.750, 0.430], [0.785, 0.250, 0.570], [0.926, 0.750, 0.851], [0.074, 0.250, 0.149], [0.625, 0.750, 0.250], [0.375, 0.250, 0.750], [0.525, 0.750, 0.050], [0.475, 0.250, 0.950], [0.680, 0.250, 0.359], [0.320, 0.750, 0.641]]
}


{
  "formula": "Dy2ErSc5",
  "functional": "GGA-PBE",
  "state": "optimized geometry",
  "polymorph_energy_mev_per_atom": 35,
  "final_energy_ev_per_atom": -5.620,
  "delta_e_f_ev_per_atom": 0.06,
  "sg": "I4/mmm",
  "cell": [[-5.227, 3.221, -2.690], [-1.077, -4.751, 4.604], [4.097, 3.282, 4.169]],
  "species": ["Dy", "Dy", "Er", "Sc", "Sc", "Sc", "Sc", "Sc"],
  "frac_coords": [[0.500, 0.278, 0.778], [0.500, 0.778, 0.278], [0.000, 0.778, 0.778], [0.500, 0.778, 0.778], [0.000, 0.778, 0.278], [0.000, 0.278, 0.778], [0.500, 0.278, 0.278], [0.000, 0.278, 0.278]]
}


{
  "formula": "La6SmTm5",
  "functional": "GGA-PBE",
  "state": "optimized geometry",
  "polymorph_energy_mev_per_atom": 46,
  "final_energy_ev_per_atom": -4.650,
  "delta_e_f_ev_per_atom": 0.07,
  "sg": "C2/m",
  "cell": [[5.569, 1.950, 0.000], [2.976, 9.347, 0.000], [1.488, 4.673, 8.850]],
  "species": ["La", "La", "La", "La", "La", "La", "Sm", "Tm", "Tm", "Tm", "Tm", "Tm"],
  "frac_coords": [[0.747, 0.084, 0.338], [0.253, 0.578, 0.338], [0.241, 0.258, 0.000], [0.759, 0.742, 0.000], [0.747, 0.422, 0.662], [0.253, 0.916, 0.662], [0.000, 0.000, 0.000], [0.500, 0.165, 0.670], [0.000, 0.333, 0.334], [0.500, 0.500, 0.000], [0.000, 0.667, 0.666], [0.500, 0.835, 0.330]]
}


{
  "formula": "KMoAs",
  "functional": "GGA-PBE",
  "state": "optimized geometry",
  "polymorph_energy_mev_per_atom": 748,
  "final_energy_ev_per_atom": -5.052,
  "delta_e_f_ev_per_atom": 0.47,
  "sg": "Fmm2",
  "cell": [[7.816, 0.014, -0.011], [7.034, 2.975, 0.012], [0.782, -0.747, 2.866]],
  "species": ["As", "K", "Mo"],
  "frac_coords": [[0.023, 0.023, 0.977], [0.339, 0.339, 0.661], [0.638, 0.638, 0.362]]
}


{
  "formula": "Ba4CaZr",
  "functional": "GGA-PBE",
  "state": "optimized geometry",
  "final_energy_ev_per_atom": -2.375,
  "delta_e_f_ev_per_atom": 0.66,
  "sg": "F-43m",
  "cell": [[0.000, 5.302, 5.302], [5.302, 0.000, 5.302], [5.302, 5.302, 0.000]],
  "species": ["Ba", "Ba", "Ba", "Ba", "Ca", "Zr"],
  "frac_coords": [[0.879, 0.374, 0.374], [0.374, 0.374, 0.879], [0.374, 0.879, 0.374], [0.374, 0.374, 0.374], [0.750, 0.750, 0.750], [0.000, 0.000, 0.000]]
}


{
  "formula": "Na2CaPdO4",
  "functional": "GGA-PBE",
  "state": "optimized geometry",
  "final_energy_ev_per_atom": -5.192,
  "e_form_raw_ev_per_atom": -1.484,
  "sg": "P2/m",
  "cell": [[3.248, 0.000, 0.000], [0.000, 5.609, 0.106], [0.000, -1.948, 5.469]],
  "species": ["Na", "Na", "Ca", "Pd", "O", "O", "O", "O"],
  "frac_coords": [[0.500, 0.000, 0.500], [0.000, 0.500, 0.500], [0.500, 0.500, 0.000], [0.000, 0.000, 0.000], [0.500, 0.201, 0.202], [0.500, 0.799, 0.798], [0.000, 0.235, 0.779], [0.000, 0.765, 0.221]]
}


{
  "formula": "AcDy12Er5",
  "functional": "GGA-PBE",
  "state": "optimized geometry",
  "final_energy_ev_per_atom": -4.435,
  "delta_e_f_ev_per_atom": 0.13,
  "sg": "C2/m",
  "cell": [[11.302, 0.000, -0.041], [5.651, 8.615, -0.021], [-0.024, 0.000, 5.938]],
  "species": ["Ac", "Dy", "Dy", "Dy", "Dy", "Dy", "Dy", "Dy", "Dy", "Dy", "Dy", "Dy", "Dy", "Er", "Er", "Er", "Er", "Er"],
  "frac_coords": [[0.000, 0.000, 0.000], [0.816, 0.000, 0.463], [0.184, 0.000, 0.537], [0.661, 0.000, 0.962], [0.339, 0.000, 0.038], [0.351, 0.665, 0.944], [0.984, 0.665, 0.056], [0.016, 0.335, 0.944], [0.649, 0.335, 0.056], [0.503, 0.336, 0.552], [0.839, 0.664, 0.552], [0.161, 0.336, 0.448], [0.497, 0.664, 0.448], [0.500, 0.000, 0.500], [0.166, 0.669, 0.500], [0.834, 0.331, 0.500], [0.675, 0.650, 0.000], [0.325, 0.350, 0.000]]
}